AcTbY5Ho2, optimized geometry, DFT PBE-GGA; raw total energy = -0.398 Ry per atom; space-group type = Cmc2_1, No. 36
1.0
2.7800 -11.9140 0.0000
2.7800 11.9140 0.0000
0.0000 0.0000 9.3749
Ac Tb Y Ho
2 2 10 4
direct
0.1025 0.8975 0.5000
0.8975 0.1025 0.0000
0.2611 0.7389 0.1080
0.7389 0.2611 0.6080
0.0249 0.9751 0.8205
0.1045 0.8955 0.1027
0.1905 0.8095 0.7984
0.2424 0.7576 0.4358
0.4918 0.5082 0.5952
0.5082 0.4918 0.0952
0.7576 0.2424 0.9358
0.8095 0.1905 0.2984
0.8955 0.1045 0.6027
0.9751 0.0249 0.3205
0.3298 0.6702 0.7477
0.3864 0.6136 0.3567
0.6136 0.3864 0.8567
0.6702 0.3298 0.2477